No. 1
Below is KBeCd2 at its PBEsol-relaxed geometry, with properties calculated at the meta-GGA SCAN level.

Output
E: -71.1 eV for the cell shown
formation energy: 13.9 kcal/mol of atoms

abc: 4.5582 4.5582 4.5604
angles: 90.00 90.00 90.00
Atoms (fractional coordinates):
1 Be 0.0000 0.0000 0.5000
2 K 0.5000 0.5000 0.5000
3 Cd 0.0000 0.5000 0.0000
4 Cd 0.5000 0.0000 0.0000

No. 2
Below is K2BeCd at its PBEsol-relaxed geometry, with properties calculated at the meta-GGA SCAN level.

Output
E: -49.3 eV for the cell shown
formation energy: 12.4 kcal/mol of atoms

abc: 5.4218 5.4300 5.4218
angles: 60.05 90.00 119.95
Atoms (fractional coordinates):
1 Be 0.5000 0.0000 0.5000
2 K 0.0000 0.0000 0.0000
3 K 0.2500 0.5000 0.2500
4 Cd 0.7500 0.5000 0.7500

No. 3
Below is KBe3Cd at its PBEsol-relaxed geometry, with properties calculated at the meta-GGA SCAN level.

Output
E: -47.6 eV for the cell shown
formation energy: 19.2 kcal/mol of atoms

abc: 4.6159 4.6159 4.6159
angles: 90.00 90.00 90.00
Atoms (fractional coordinates):
1 Be 0.0000 0.5000 0.0000
2 Be 0.0000 0.0000 0.5000
3 Be 0.5000 0.0000 0.0000
4 K 0.5000 0.5000 0.5000
5 Cd 0.0000 0.0000 0.0000

No. 4
Below is KBeCdMo2 at its PBEsol-relaxed geometry, with properties calculated at the meta-GGA SCAN level.

Output
E: -103.7 eV for the cell shown
formation energy: 42.4 kcal/mol of atoms

abc: 4.5415 5.2930 5.2930
angles: 90.00 90.00 90.00
Atoms (fractional coordinates):
1 Be 0.5000 0.0000 0.0000
2 Mo 0.0000 0.0000 0.5000
3 Mo 0.0000 0.5000 0.0000
4 K 0.5000 0.5000 0.5000
5 Cd 0.0000 0.0000 0.0000

No. 5
Below is LaBeCd at its PBEsol-relaxed geometry, with properties calculated at the meta-GGA SCAN level.

Output
E: -78.1 eV for the cell shown
energy relative to the lowest polymorph listed for this composition: 0 meV/atom
formation energy: -1.7 kcal/mol of atoms

abc: 3.5572 4.6454 4.6454
angles: 120.00 90.00 90.00
Atoms (fractional coordinates):
1 Be 0.0000 0.0000 0.0000
2 Cd 0.0000 0.3333 0.6667
3 La 0.5000 0.6667 0.3333

No. 6
Below is LaBeCd2 at its PBEsol-relaxed geometry, with properties calculated at the meta-GGA SCAN level.

Output
E: -108.6 eV for the cell shown
formation energy: -1.8 kcal/mol of atoms

abc: 4.9341 4.9374 4.9374
angles: 60.04 60.02 60.02
Atoms (fractional coordinates):
1 Be 0.2506 0.2494 0.2494
2 Cd 0.9997 0.0003 0.0003
3 Cd 0.7496 0.7504 0.7504
4 La 0.5000 0.5000 0.5000

No. 7
Below is LaBeCd2 at its PBEsol-relaxed geometry, with properties calculated at the meta-GGA SCAN level.

Output
E: -108.3 eV for the cell shown
formation energy: 0.0 kcal/mol of atoms

abc: 3.1422 3.1422 8.0729
angles: 90.00 90.00 90.00
Atoms (fractional coordinates):
1 Be 0.5000 0.5000 0.5000
2 Cd 0.0000 0.0000 0.6862
3 Cd 0.0000 0.0000 0.3138
4 La 0.5000 0.5000 0.0000

No. 8
Below is LaBeCd at its PBEsol-relaxed geometry, with properties calculated at the meta-GGA SCAN level.

Output
E: -76.1 eV for the cell shown
energy relative to the lowest polymorph listed for this composition: 678 meV/atom
formation energy: 13.9 kcal/mol of atoms

abc: 4.9145 4.9145 4.9145
angles: 60.00 60.00 60.00
Atoms (fractional coordinates):
1 Be 0.0000 0.0000 0.0000
2 Cd 0.5000 0.5000 0.5000
3 La 0.2500 0.2500 0.2500

No. 9
Below is LiBeCd at its PBEsol-relaxed geometry, with properties calculated at the meta-GGA SCAN level.

Output
E: -36.4 eV for the cell shown
formation energy: 5.9 kcal/mol of atoms

abc: 2.8010 2.8010 6.7114
angles: 90.00 90.00 120.00
Atoms (fractional coordinates):
1 Be 0.0000 0.0000 0.0057
2 Cd 0.3333 0.6667 0.6802
3 Li 0.6667 0.3333 0.3141

No. 10
Below is Li2BeCd at its PBEsol-relaxed geometry, with properties calculated at the meta-GGA SCAN level.

Output
E: -39.3 eV for the cell shown
energy relative to the lowest polymorph listed for this composition: 0 meV/atom
formation energy: 1.5 kcal/mol of atoms

abc: 2.7222 3.8789 5.6630
angles: 90.00 90.00 90.00
Atoms (fractional coordinates):
1 Be 0.0000 0.0000 0.5080
2 Cd 0.5000 0.5000 0.7290
3 Li 0.0000 0.0000 0.9988
4 Li 0.5000 0.5000 0.2642

No. 11
Below is Li2BeCd at its PBEsol-relaxed geometry, with properties calculated at the meta-GGA SCAN level.

Output
E: -39.2 eV for the cell shown
energy relative to the lowest polymorph listed for this composition: 12 meV/atom
formation energy: 1.8 kcal/mol of atoms

abc: 4.3026 4.3026 4.3026
angles: 60.00 60.00 60.00
Atoms (fractional coordinates):
1 Be 0.0000 0.0000 0.0000
2 Cd 0.5000 0.5000 0.5000
3 Li 0.2500 0.2500 0.2500
4 Li 0.7500 0.7500 0.7500

No. 12
Below is LiBeCd2 at its PBEsol-relaxed geometry, with properties calculated at the meta-GGA SCAN level.

Output
E: -67.6 eV for the cell shown
formation energy: 0.1 kcal/mol of atoms

abc: 3.0839 3.0839 6.4900
angles: 90.00 90.00 90.00
Atoms (fractional coordinates):
1 Be 0.5000 0.5000 0.0000
2 Cd 0.0000 0.0000 0.2349
3 Cd 0.0000 0.0000 0.7651
4 Li 0.5000 0.5000 0.5000